# PmDyHo2Tm PBE optimized geometry
# - Total DFT energy (no corrections): -21.0 eV per formula unit
# - ΔH_f (0 K): 191 kJ/mol of formula units
# - Mass density: 7.8 g cm⁻³
data_PmDyHo2Tm
_chemical_formula_sum 'Pm4 Dy4 Ho8 Tm4'
_cell_length_a 8.355
_cell_length_b 11.395
_cell_length_c 7.179
_cell_angle_alpha 90.00
_cell_angle_beta 90.00
_cell_angle_gamma 90.00
_symmetry_space_group_name_H-M 'C m c m'
_symmetry_Int_Tables_number 63
_symmetry_space_group_name_Hall '-C 2c 2'
loop_
_atom_site_label
_atom_site_fract_x
_atom_site_fract_y
_atom_site_fract_z
Pm1 0.000 0.227 0.250
Dy1 0.000 0.499 0.250
Ho1 0.190 0.000 0.000
Tm1 0.000 0.222 0.750